ThPa2In: optimized geometry, PBE.

Cell lengths 4.0690, 4.0690, 6.6879 Å; angles 90.00, 90.00, 90.00 degrees
Space group P4/mmm (No. 123)
Symmetry-distinct sites (fractional):
Th1 0.0000 0.0000 0.0000 [1 per cell]
Pa1 0.5000 0.5000 0.2825 [2 per cell]
In1 0.0000 0.0000 0.5000 [1 per cell]

Results
* N(E_F): 2.42 states/eV per atom
* energy above the lowest structure with this stoichiometry: 0.620 eV/f.u.
* energy of formation: 0.178 eV/atom
* E_tot: -28.437 eV per cell